First-principles (PBE) data for an optimized crystal structure of Se4S5Cl2, as listed in the Alexandria database.

a b c (Å): 6.510 6.510 13.119
angles (deg): 94.53 94.53 127.53
Fractional positions:
Se1 0.137 0.137 0.073
Se2 0.209 0.209 0.382
Se3 0.791 0.791 0.618
Se4 0.863 0.863 0.927
S1 0.315 0.607 0.420
S2 0.393 0.685 0.580
S3 0.500 0.500 0.000
S4 0.607 0.315 0.420
S5 0.685 0.393 0.580
Cl1 0.322 0.322 0.830
Cl2 0.678 0.678 0.170

Fermi-level density of states in states/eV/f.u.: 5.1
Formation energy without anion corrections in eV/atom: 0.07



First-principles (PBE) data for an optimized crystal structure of Th2SbS, as listed in the Alexandria database.

a b c (Å): 7.423 7.423 7.423
angles (deg): 33.47 33.47 33.47
Fractional positions:
Th1 0.238 0.238 0.238
Th2 0.762 0.762 0.762
Sb1 0.000 0.000 0.000
S1 0.500 0.500 0.500

Energy relative to the lowest polymorph listed for this composition in kcal/mol of atoms: 0.00
Fermi-level density of states in states/eV/f.u.: 3.4
Formation energy without anion corrections in eV/atom: -1.35



First-principles (PBE) data for an optimized crystal structure of Ni2AgPdN, as listed in the Alexandria database.

a b c (Å): 3.819 3.819 4.248
angles (deg): 90.00 90.00 90.00
Fractional positions:
Ni1 0.000 0.500 0.000
Ni2 0.500 0.000 0.000
Ag1 0.000 0.000 0.500
Pd1 0.500 0.500 0.500
N1 0.500 0.500 0.000

Energy relative to the lowest polymorph listed for this composition in kcal/mol of atoms: 0.00
Fermi-level density of states in states/eV/f.u.: 5.1
Formation energy without anion corrections in eV/atom: 0.10



Number 1: electronic total energy -3.411 eV/atom, total magnetic moment 0.00 μB per atom. Number 2: electronic total energy -7.120 eV/atom, total magnetic moment 0.00 μB per atom. Number 3: electronic total energy -5.490 eV/atom, total magnetic moment 0.10 μB per atom.